[1]
# LiPu2US4, optimized geometry, DFT PBE
# Raw total energy = -8.86 eV per atom
data_LiPu2US4
_symmetry_space_group_name_H-M 'P 1 2/m 1'
_symmetry_Int_Tables_number 10
_symmetry_space_group_name_Hall '-P 2y'
_cell_length_a 6.7442
_cell_length_b 3.9035
_cell_length_c 6.7861
_cell_angle_alpha 90.00
_cell_angle_beta 109.26
_cell_angle_gamma 90.00
loop_
_atom_site_label
_atom_site_type_symbol
_atom_site_fract_x
_atom_site_fract_y
_atom_site_fract_z
Li1 Li 0.0000 0.0000 0.0000
Pu1 Pu 0.5000 0.0000 0.5000
Pu2 Pu 0.5000 0.5000 0.0000
U1 U 0.0000 0.5000 0.5000
S1 S 0.2420 0.5000 0.2466
S2 S 0.2452 0.0000 0.7518

---

[2]
# SrMgTiPt2, optimized geometry, DFT PBE
# DFT formation energy = -17.7 kcal/mol of atoms
data_SrMgTiPt2
_symmetry_space_group_name_H-M 'I -4 m 2'
_symmetry_Int_Tables_number 119
_symmetry_space_group_name_Hall 'I -4 -2'
_cell_length_a 4.3074
_cell_length_b 4.3074
_cell_length_c 11.5802
_cell_angle_alpha 90.00
_cell_angle_beta 90.00
_cell_angle_gamma 90.00
loop_
_atom_site_label
_atom_site_type_symbol
_atom_site_fract_x
_atom_site_fract_y
_atom_site_fract_z
Sr1 Sr 0.0000 0.0000 0.0000
Mg1 Mg 0.0000 0.5000 0.2500
Ti1 Ti 0.0000 0.5000 0.7500
Pt1 Pt 0.0000 0.0000 0.3812

---

[3]
# LiLaMn2, optimized geometry, DFT PBE
# DFT formation energy = 9.4 kcal/mol of atoms
# Offset from the most stable computed form = 52.2 kJ/mol of formula units
data_LiLaMn2
_symmetry_space_group_name_H-M 'P 4/m m m'
_symmetry_Int_Tables_number 123
_symmetry_space_group_name_Hall '-P 4 2'
_cell_length_a 3.4071
_cell_length_b 3.4071
_cell_length_c 6.8662
_cell_angle_alpha 90.00
_cell_angle_beta 90.00
_cell_angle_gamma 90.00
loop_
_atom_site_label
_atom_site_type_symbol
_atom_site_fract_x
_atom_site_fract_y
_atom_site_fract_z
Li1 Li 0.0000 0.0000 0.0000
La1 La 0.0000 0.0000 0.5000
Mn1 Mn 0.5000 0.5000 0.1998

---

[4]
# LiMgIn, optimized geometry, DFT PBE
# DFT formation energy = -4.1 kcal/mol of atoms
# Offset from the most stable computed form = 1.2 kJ/mol of formula units
data_LiMgIn
_symmetry_space_group_name_H-M 'P 3 m 1'
_symmetry_Int_Tables_number 156
_symmetry_space_group_name_Hall 'P 3 -2"'
_cell_length_a 4.7748
_cell_length_b 4.7748
_cell_length_c 3.2071
_cell_angle_alpha 90.00
_cell_angle_beta 90.00
_cell_angle_gamma 120.00
loop_
_atom_site_label
_atom_site_type_symbol
_atom_site_fract_x
_atom_site_fract_y
_atom_site_fract_z
Li1 Li 0.0000 0.0000 0.0000
Mg1 Mg 0.6667 0.3333 0.3682
In1 In 0.3333 0.6667 0.7633

---

[5]
# Pm5YSc2, optimized geometry, DFT PBE
# DFT formation energy = 3.1 kcal/mol of atoms
data_Pm5YSc2
_symmetry_space_group_name_H-M 'C 1 2/c 1'
_symmetry_Int_Tables_number 15
_symmetry_space_group_name_Hall '-C 2yc'
_cell_length_a 16.2768
_cell_length_b 9.8245
_cell_length_c 6.4928
_cell_angle_alpha 90.00
_cell_angle_beta 99.51
_cell_angle_gamma 90.00
loop_
_atom_site_label
_atom_site_type_symbol
_atom_site_fract_x
_atom_site_fract_y
_atom_site_fract_z
Pm1 Pm 0.0000 0.0597 0.2500
Pm2 Pm 0.0943 0.4070 0.1317
Pm3 Pm 0.1994 0.0900 0.0145
Y1 Y 0.2500 0.2500 0.5000
Sc1 Sc 0.0762 0.2539 0.6364

---

[6]
# Sc8SnPb5, optimized geometry, DFT PBE
# DFT formation energy = -10.8 kcal/mol of atoms
data_Sc8SnPb5
_symmetry_space_group_name_H-M 'I -4'
_symmetry_Int_Tables_number 82
_symmetry_space_group_name_Hall 'I -4'
_cell_length_a 8.8601
_cell_length_b 8.8601
_cell_length_c 8.8585
_cell_angle_alpha 90.00
_cell_angle_beta 90.00
_cell_angle_gamma 90.00
loop_
_atom_site_label
_atom_site_type_symbol
_atom_site_fract_x
_atom_site_fract_y
_atom_site_fract_z
Sc1 Sc 0.0728 0.1792 0.3025
Sc2 Sc 0.0731 0.3246 0.9519
Sn1 Sn 0.0000 0.5000 0.2500
Pb1 Pb 0.0000 0.0000 0.0000
Pb2 Pb 0.1243 0.2503 0.6268

---

[7]
# TaSb2W, optimized geometry, DFT PBE
# Offset from the most stable computed form = 42.5 kJ/mol of formula units
data_TaSb2W
_symmetry_space_group_name_H-M 'C m m 2'
_symmetry_Int_Tables_number 35
_symmetry_space_group_name_Hall 'C 2 -2'
_cell_length_a 3.6013
_cell_length_b 4.8747
_cell_length_c 10.1583
_cell_angle_alpha 90.00
_cell_angle_beta 90.00
_cell_angle_gamma 90.00
loop_
_atom_site_label
_atom_site_type_symbol
_atom_site_fract_x
_atom_site_fract_y
_atom_site_fract_z
Ta1 Ta 0.0000 0.0000 0.0000
Sb1 Sb 0.0000 0.0000 0.5789
Sb2 Sb 0.0000 0.5000 0.2217
W1 W 0.0000 0.5000 0.7973

---

[8]
# Tm3Sn3Pd, optimized geometry, DFT PBE
# DFT formation energy = -17.4 kcal/mol of atoms
data_Tm3Sn3Pd
_symmetry_space_group_name_H-M 'C 1 2/m 1'
_symmetry_Int_Tables_number 12
_symmetry_space_group_name_Hall '-C 2y'
_cell_length_a 11.0827
_cell_length_b 4.4636
_cell_length_c 14.6965
_cell_angle_alpha 90.00
_cell_angle_beta 108.40
_cell_angle_gamma 90.00
loop_
_atom_site_label
_atom_site_type_symbol
_atom_site_fract_x
_atom_site_fract_y
_atom_site_fract_z
Tm1 Tm 0.0283 0.0000 0.3810
Tm2 Tm 0.0961 0.0000 0.9218
Tm3 Tm 0.2326 0.0000 0.2311
Sn1 Sn 0.0145 0.5000 0.2326
Sn2 Sn 0.1317 0.5000 0.0757
Sn3 Sn 0.1396 0.5000 0.5447
Pd1 Pd 0.2328 0.5000 0.3853

---

[9]
# Be3CrAs, optimized geometry, DFT PBE
# DFT formation energy = 29.4 kcal/mol of atoms
# Offset from the most stable computed form = 0.0 kJ/mol of formula units
data_Be3CrAs
_symmetry_space_group_name_H-M 'P m -3 m'
_symmetry_Int_Tables_number 221
_symmetry_space_group_name_Hall '-P 4 2 3'
_cell_length_a 4.1351
_cell_length_b 4.1351
_cell_length_c 4.1351
_cell_angle_alpha 90.00
_cell_angle_beta 90.00
_cell_angle_gamma 90.00
loop_
_atom_site_label
_atom_site_type_symbol
_atom_site_fract_x
_atom_site_fract_y
_atom_site_fract_z
Be1 Be 0.0000 0.0000 0.5000
Cr1 Cr 0.0000 0.0000 0.0000
As1 As 0.5000 0.5000 0.5000

---

[10]
# Pr8Ho3, optimized geometry, DFT PBE
# DFT formation energy = 10.2 kcal/mol of atoms
# Offset from the most stable computed form = 450.5 kJ/mol of formula units
data_Pr8Ho3
_symmetry_space_group_name_H-M 'R -3'
_symmetry_Int_Tables_number 148
_symmetry_space_group_name_Hall '-R 3'
_cell_length_a 9.8908
_cell_length_b 9.8908
_cell_length_c 13.9972
_cell_angle_alpha 90.00
_cell_angle_beta 90.00
_cell_angle_gamma 120.00
loop_
_atom_site_label
_atom_site_type_symbol
_atom_site_fract_x
_atom_site_fract_y
_atom_site_fract_z
Pr1 Pr 0.0000 0.0000 0.1110
Pr2 Pr 0.0355 0.2293 0.6145
Ho1 Ho 0.0000 0.5000 0.5000

---

[11]
# Pm2Si2Pt, optimized geometry, DFT PBE
# Raw total energy = -6.26 eV per atom
data_Pm2Si2Pt
_symmetry_space_group_name_H-M 'C 1 2/m 1'
_symmetry_Int_Tables_number 12
_symmetry_space_group_name_Hall '-C 2y'
_cell_length_a 10.8913
_cell_length_b 4.2665
_cell_length_c 10.8209
_cell_angle_alpha 90.00
_cell_angle_beta 117.49
_cell_angle_gamma 90.00
loop_
_atom_site_label
_atom_site_type_symbol
_atom_site_fract_x
_atom_site_fract_y
_atom_site_fract_z
Pm1 Pm 0.1015 0.0000 0.4005
Pm2 Pm 0.2100 0.5000 0.1464
Si1 Si 0.0344 0.0000 0.9114
Si2 Si 0.1108 0.5000 0.6101
Pt1 Pt 0.0594 0.5000 0.8141

---

[12]
# AlOs3, optimized geometry, DFT PBE
# DFT formation energy = 3.9 kcal/mol of atoms
data_AlOs3
_symmetry_space_group_name_H-M 'P 4/m m m'
_symmetry_Int_Tables_number 123
_symmetry_space_group_name_Hall '-P 4 2'
_cell_length_a 4.4544
_cell_length_b 4.4544
_cell_length_c 2.8928
_cell_angle_alpha 90.00
_cell_angle_beta 90.00
_cell_angle_gamma 90.00
loop_
_atom_site_label
_atom_site_type_symbol
_atom_site_fract_x
_atom_site_fract_y
_atom_site_fract_z
Al1 Al 0.0000 0.0000 0.0000
Os1 Os 0.0000 0.5000 0.5000
Os2 Os 0.5000 0.5000 0.0000

---

[13]
# ScBeSCl2, optimized geometry, DFT PBE
# Offset from the most stable computed form = 0.0 kJ/mol of formula units
data_ScBeSCl2
_symmetry_space_group_name_H-M 'P 4/m m m'
_symmetry_Int_Tables_number 123
_symmetry_space_group_name_Hall '-P 4 2'
_cell_length_a 4.2875
_cell_length_b 4.2875
_cell_length_c 4.8652
_cell_angle_alpha 90.00
_cell_angle_beta 90.00
_cell_angle_gamma 90.00
loop_
_atom_site_label
_atom_site_type_symbol
_atom_site_fract_x
_atom_site_fract_y
_atom_site_fract_z
Sc1 Sc 0.0000 0.0000 0.0000
Be1 Be 0.5000 0.5000 0.5000
S1 S 0.5000 0.5000 0.0000
Cl1 Cl 0.0000 0.5000 0.5000

---

[14]
# Ta2AlHg, optimized geometry, DFT PBE
# DFT formation energy = 4.3 kcal/mol of atoms
# Offset from the most stable computed form = 47.6 kJ/mol of formula units
data_Ta2AlHg
_symmetry_space_group_name_H-M 'R -3 m'
_symmetry_Int_Tables_number 166
_symmetry_space_group_name_Hall '-R 3 2"'
_cell_length_a 2.9698
_cell_length_b 2.9698
_cell_length_c 29.0424
_cell_angle_alpha 90.00
_cell_angle_beta 90.00
_cell_angle_gamma 120.00
loop_
_atom_site_label
_atom_site_type_symbol
_atom_site_fract_x
_atom_site_fract_y
_atom_site_fract_z
Ta1 Ta 0.0000 0.0000 0.2470
Al1 Al 0.0000 0.0000 0.5000
Hg1 Hg 0.0000 0.0000 0.0000

---

[15]
# SrTcBr2, optimized geometry, DFT PBE
# Offset from the most stable computed form = 67.9 kJ/mol of formula units
data_SrTcBr2
_symmetry_space_group_name_H-M 'I -4 2 d'
_symmetry_Int_Tables_number 122
_symmetry_space_group_name_Hall 'I -4 2bw'
_cell_length_a 5.2942
_cell_length_b 5.2942
_cell_length_c 17.2625
_cell_angle_alpha 90.00
_cell_angle_beta 90.00
_cell_angle_gamma 90.00
loop_
_atom_site_label
_atom_site_type_symbol
_atom_site_fract_x
_atom_site_fract_y
_atom_site_fract_z
Sr1 Sr 0.0000 0.0000 0.0000
Tc1 Tc 0.0000 0.0000 0.5000
Br1 Br 0.1949 0.2500 0.6250

---

[16]
# BeNi2HPt, optimized geometry, DFT PBE
# Offset from the most stable computed form = 9.1 kJ/mol of formula units
data_BeNi2HPt
_symmetry_space_group_name_H-M 'P 4/m m m'
_symmetry_Int_Tables_number 123
_symmetry_space_group_name_Hall '-P 4 2'
_cell_length_a 3.5246
_cell_length_b 3.5246
_cell_length_c 3.9216
_cell_angle_alpha 90.00
_cell_angle_beta 90.00
_cell_angle_gamma 90.00
loop_
_atom_site_label
_atom_site_type_symbol
_atom_site_fract_x
_atom_site_fract_y
_atom_site_fract_z
Be1 Be 0.0000 0.0000 0.0000
Ni1 Ni 0.0000 0.5000 0.5000
H1 H 0.5000 0.5000 0.5000
Pt1 Pt 0.5000 0.5000 0.0000

---

[17]
# Ba2AcTl3, optimized geometry, DFT PBE
# DFT formation energy = -6.7 kcal/mol of atoms
# Offset from the most stable computed form = 55.5 kJ/mol of formula units
data_Ba2AcTl3
_symmetry_space_group_name_H-M 'C 1 2/c 1'
_symmetry_Int_Tables_number 15
_symmetry_space_group_name_Hall '-C 2yc'
_cell_length_a 18.1215
_cell_length_b 7.1872
_cell_length_c 7.2676
_cell_angle_alpha 90.00
_cell_angle_beta 105.12
_cell_angle_gamma 90.00
loop_
_atom_site_label
_atom_site_type_symbol
_atom_site_fract_x
_atom_site_fract_y
_atom_site_fract_z
Ba1 Ba 0.1760 0.1120 0.1091
Ac1 Ac 0.0000 0.3552 0.7500
Tl1 Tl 0.0000 0.1365 0.2500
Tl2 Tl 0.1497 0.3856 0.5247

---

no.,size of the total moment (Bohr magnetons per cell)
1,13.93
2,0.00
3,6.81
4,0.00
5,0.00
6,0.00
7,0.00
8,0.00
9,0.00
10,0.00
11,0.00
12,0.00
13,0.86
14,0.00
15,12.01
16,0.54
17,0.00